DFT (GGA-PBE) results for a relaxed LiCo2Ni crystal.

Symmetry: I-42d
Density: 6.16 g/cm3
Total energy: -0.3661 Ry per atom
Energy relative to the elements: 0.50 eV/atom

The structure in extended XYZ format:
```
8
Lattice="-3.237 3.237 2.360 3.237 -3.237 2.360 3.237 3.237 -2.360" Properties=species:S:1:pos:R:3 pbc="T T T"
Li 0.000 0.000 0.000
Li 0.000 3.237 1.180
Co 1.618 -1.489 1.770
Co 1.747 1.618 0.590
Co 1.618 4.726 -0.590
Co 1.489 1.618 2.950
Ni 3.237 0.000 1.180
Ni 0.000 0.000 2.360
```

---

DFT (GGA-PBE) results for a relaxed LiCoNi2 crystal.

Symmetry: Cm
Density: 6.90 g/cm3
Total energy: -0.3759 Ry per atom
Energy relative to the elements: 0.03 eV/atom

The structure in extended XYZ format:
```
4
Lattice="4.195 -1.234 0.000 4.195 1.234 0.000 -0.697 0.000 4.262" Properties=species:S:1:pos:R:3 pbc="T T T"
Li 0.000 0.000 0.000
Co 6.190 0.000 1.232
Ni 1.505 0.000 3.315
Ni 3.882 0.000 2.125
```

---

DFT (GGA-PBE) results for a relaxed LiCoNi2 crystal.

Symmetry: Cmm2
Density: 6.72 g/cm3
Total energy: -0.3718 Ry per atom
Energy relative to the elements: 0.09 eV/atom

The structure in extended XYZ format:
```
4
Lattice="1.298 -2.065 0.000 1.298 2.065 0.000 0.000 0.000 8.441" Properties=species:S:1:pos:R:3 pbc="T T T"
Li 0.000 0.000 0.000
Co 1.298 0.000 6.223
Ni 0.000 0.000 4.187
Ni 1.298 0.000 2.115
```

---

DFT (GGA-PBE) results for a relaxed LiCo2Ni crystal.

Symmetry: P4/mmm
Density: 6.93 g/cm3
Total energy: -0.3918 Ry per atom
Energy relative to the elements: 0.15 eV/atom

The structure in extended XYZ format:
```
4
Lattice="3.400 0.000 0.000 0.000 3.400 0.000 0.000 0.000 3.802" Properties=species:S:1:pos:R:3 pbc="T T T"
Li 0.000 0.000 0.000
Co 0.000 1.700 1.901
Co 1.700 0.000 1.901
Ni 1.700 1.700 0.000
```

---

DFT (GGA-PBE) results for a relaxed Li3CoNi crystal.

Symmetry: Pm-3m
Density: 2.74 g/cm3
Relative energy among the computed polymorphs: 133 meV per atom
Total energy: -0.2058 Ry per atom
Energy relative to the elements: 0.93 eV/atom

The structure in extended XYZ format:
```
5
Lattice="4.378 0.000 0.000 0.000 4.378 0.000 0.000 0.000 4.378" Properties=species:S:1:pos:R:3 pbc="T T T"
Li 0.000 0.000 2.189
Li 0.000 2.189 0.000
Li 2.189 0.000 0.000
Co 0.000 0.000 0.000
Ni 2.189 2.189 2.189
```

---

DFT (GGA-PBE) results for a relaxed LiCoNi2 crystal.

Symmetry: I-42d
Density: 6.38 g/cm3
Total energy: -0.3464 Ry per atom
Energy relative to the elements: 0.43 eV/atom

The structure in extended XYZ format:
```
8
Lattice="-1.707 1.707 8.187 1.707 -1.707 8.187 1.707 1.707 -8.187" Properties=species:S:1:pos:R:3 pbc="T T T"
Li 0.000 0.000 0.000
Li 0.000 1.707 4.093
Co 1.707 0.000 4.093
Co 0.000 0.000 8.187
Ni 2.560 0.849 -2.047
Ni 0.849 0.853 2.047
Ni -0.853 0.858 6.140
Ni 0.858 0.853 10.233
```

---

DFT (GGA-PBE) results for a relaxed LiCo2Ni crystal.

Symmetry: Cmmm
Density: 6.92 g/cm3
Total energy: -0.3949 Ry per atom
Energy relative to the elements: 0.10 eV/atom

The structure in extended XYZ format:
```
4
Lattice="2.400 -3.814 0.000 2.400 3.814 0.000 0.000 0.000 2.407" Properties=species:S:1:pos:R:3 pbc="T T T"
Li 0.000 0.000 0.000
Co 1.200 1.907 1.203
Co 1.200 -1.907 1.203
Ni 2.400 0.000 0.000
```

---

DFT (GGA-PBE) results for a relaxed LiCoNi2 crystal.

Symmetry: P4/mmm
Density: 6.69 g/cm3
Total energy: -0.3761 Ry per atom
Energy relative to the elements: 0.03 eV/atom

The structure in extended XYZ format:
```
4
Lattice="2.490 0.000 0.000 0.000 2.490 0.000 0.000 0.000 7.337" Properties=species:S:1:pos:R:3 pbc="T T T"
Li 0.000 0.000 0.000
Co 0.000 0.000 3.668
Ni 1.245 1.245 1.960
Ni 1.245 1.245 5.377
```

---

DFT (GGA-PBE) results for a relaxed LiCo2Ni crystal.

Symmetry: P4mm
Density: 6.65 g/cm3
Total energy: -0.3956 Ry per atom
Energy relative to the elements: 0.09 eV/atom

The structure in extended XYZ format:
```
4
Lattice="2.482 0.000 0.000 0.000 2.482 0.000 0.000 0.000 7.440" Properties=species:S:1:pos:R:3 pbc="T T T"
Li 0.000 0.000 0.000
Co 0.000 0.000 3.665
Co 1.241 1.241 5.392
Ni 1.241 1.241 1.946
```

---

DFT (GGA-PBE) results for a relaxed LiCoNi14 crystal.

Symmetry: Amm2
Density: 8.46 g/cm3
Total energy: -0.4125 Ry per atom
Energy relative to the elements: 0.01 eV/atom

The structure in extended XYZ format:
```
16
Lattice="8.130 0.000 0.000 0.000 2.490 4.301 0.000 -2.490 4.301" Properties=species:S:1:pos:R:3 pbc="T T T"
Li 0.000 0.000 0.000
Co 0.000 0.000 4.303
Ni 0.000 -1.245 2.153
Ni 0.000 1.245 2.153
Ni 2.003 0.000 2.870
Ni 2.023 -1.239 5.015
Ni 2.023 1.239 5.015
Ni 2.035 0.000 7.162
Ni 4.065 0.000 1.429
Ni 4.065 -1.243 3.578
Ni 4.065 1.243 3.578
Ni 4.065 0.000 5.729
Ni 6.095 0.000 7.162
Ni 6.108 -1.239 5.015
Ni 6.108 1.239 5.015
Ni 6.128 0.000 2.870
```

---

DFT (GGA-PBE) results for a relaxed LiCo2Ni crystal.

Symmetry: Cmm2
Density: 6.70 g/cm3
Total energy: -0.3961 Ry per atom
Energy relative to the elements: 0.09 eV/atom

The structure in extended XYZ format:
```
4
Lattice="1.305 -2.067 0.000 1.305 2.067 0.000 0.000 0.000 8.427" Properties=species:S:1:pos:R:3 pbc="T T T"
Li 0.000 0.000 0.000
Co 0.000 0.000 4.227
Co 1.305 0.000 2.215
Ni 1.305 0.000 6.300
```

---

DFT (GGA-PBE) results for a relaxed Li3CoNi crystal.

Symmetry: Pm-3m
Density: 2.74 g/cm3
Relative energy among the computed polymorphs: 0 meV per atom
Total energy: -0.2155 Ry per atom
Energy relative to the elements: 0.79 eV/atom

The structure in extended XYZ format:
```
5
Lattice="4.379 0.000 0.000 0.000 4.379 0.000 0.000 0.000 4.379" Properties=species:S:1:pos:R:3 pbc="T T T"
Li 0.000 0.000 2.190
Li 0.000 2.190 0.000
Li 2.190 0.000 0.000
Co 2.190 2.190 2.190
Ni 0.000 0.000 0.000
```

---

DFT (GGA-PBE) results for a relaxed Li2CoNi5 crystal.

Symmetry: I4/mmm
Density: 6.94 g/cm3
Total energy: -0.3631 Ry per atom
Energy relative to the elements: 0.04 eV/atom

The structure in extended XYZ format:
```
8
Lattice="-2.905 2.905 2.596 2.905 -2.905 2.596 2.905 2.905 -2.596" Properties=species:S:1:pos:R:3 pbc="T T T"
Li 2.905 0.000 0.000
Li 0.000 2.905 0.000
Co 0.000 0.000 0.000
Ni 1.452 1.452 -1.298
Ni 1.452 -1.452 1.298
Ni -1.452 1.452 1.298
Ni 0.000 0.000 2.596
Ni 1.452 1.452 1.298
```

---

DFT (GGA-PBE) results for a relaxed LiCoNi3 crystal.

Symmetry: Pm-3m
Density: 6.98 g/cm3
Relative energy among the computed polymorphs: 829 meV per atom
Total energy: -0.3245 Ry per atom
Energy relative to the elements: 0.86 eV/atom

The structure in extended XYZ format:
```
5
Lattice="3.861 0.000 0.000 0.000 3.861 0.000 0.000 0.000 3.861" Properties=species:S:1:pos:R:3 pbc="T T T"
Li 0.000 0.000 0.000
Co 1.931 1.931 1.931
Ni 0.000 0.000 1.931
Ni 0.000 1.931 0.000
Ni 1.931 0.000 0.000
```

---

DFT (GGA-PBE) results for a relaxed LiCoNi2 crystal.

Symmetry: R-3m
Density: 6.78 g/cm3
Total energy: -0.3774 Ry per atom
Energy relative to the elements: 0.01 eV/atom

The structure in extended XYZ format:
```
4
Lattice="1.248 0.720 8.326 -1.248 0.720 8.326 0.000 -1.441 8.326" Properties=species:S:1:pos:R:3 pbc="T T T"
Li 0.000 0.000 0.000
Co 0.000 0.000 12.489
Ni 0.000 0.000 6.177
Ni 0.000 0.000 18.801
```

---

DFT (GGA-PBE) results for a relaxed LiCo2Ni crystal.

Symmetry: Cmmm
Density: 6.65 g/cm3
Total energy: -0.3925 Ry per atom
Energy relative to the elements: 0.14 eV/atom

The structure in extended XYZ format:
```
4
Lattice="1.407 -1.967 0.000 1.407 1.967 0.000 0.000 0.000 8.284" Properties=species:S:1:pos:R:3 pbc="T T T"
Li 0.000 0.000 0.000
Co 1.407 0.000 2.168
Co 1.407 0.000 6.116
Ni 0.000 0.000 4.142
```

---

DFT (GGA-PBE) results for a relaxed LiCoNi2 crystal.

Symmetry: P2/m
Density: 6.88 g/cm3
Total energy: -0.3744 Ry per atom
Energy relative to the elements: 0.05 eV/atom

The structure in extended XYZ format:
```
4
Lattice="2.478 0.000 0.000 0.000 3.547 0.000 -0.046 0.000 5.031" Properties=species:S:1:pos:R:3 pbc="T T T"
Li 0.000 0.000 0.000
Co -0.023 0.000 2.515
Ni 1.228 1.774 1.290
Ni 1.204 1.774 3.741
```

---

DFT (GGA-PBE) results for a relaxed LiCo2Ni crystal.

Symmetry: Pmmm
Density: 6.95 g/cm3
Total energy: -0.3944 Ry per atom
Energy relative to the elements: 0.11 eV/atom

The structure in extended XYZ format:
```
4
Lattice="2.586 0.000 0.000 0.000 4.071 0.000 0.000 0.000 4.162" Properties=species:S:1:pos:R:3 pbc="T T T"
Li 0.000 0.000 0.000
Co 0.000 2.036 2.081
Co 1.293 0.000 2.081
Ni 1.293 2.036 0.000
```

---

DFT (GGA-PBE) results for a relaxed LiCoNi2 crystal.

Symmetry: Immm
Density: 6.90 g/cm3
Total energy: -0.3701 Ry per atom
Energy relative to the elements: 0.11 eV/atom

The structure in extended XYZ format:
```
4
Lattice="-1.300 2.071 4.098 1.300 -2.071 4.098 1.300 2.071 -4.098" Properties=species:S:1:pos:R:3 pbc="T T T"
Li 0.000 0.000 0.000
Co 0.000 0.000 4.098
Ni 1.300 0.000 2.078
Ni 0.000 2.071 2.021
```

---

DFT (GGA-PBE) results for a relaxed LiCoNi2 crystal.

Symmetry: P4/mmm
Density: 6.93 g/cm3
Total energy: -0.3735 Ry per atom
Energy relative to the elements: 0.06 eV/atom

The structure in extended XYZ format:
```
4
Lattice="4.165 0.000 0.000 0.000 4.165 0.000 0.000 0.000 2.530" Properties=species:S:1:pos:R:3 pbc="T T T"
Li 0.000 0.000 0.000
Co 2.082 2.082 0.000
Ni 0.000 2.082 1.265
Ni 2.082 0.000 1.265
```